Entry 1:
DFT (PBE) results for crystalline NdTmPb at its relaxed geometry.

## Properties
E_form = -0.23 eV/atom
mass density = 9.049 g/cm3
DOS at the Fermi energy = 2.85 states/eV/f.u.
SG = Pmn2_1

Lattice parameters (Å, degrees): 3.566 8.373 6.395 90.00 90.00 90.00
Element x y z (fractional)
Nd (0.000, 0.031, 0.000)
Nd (0.500, 0.969, 0.500)
Tm (0.000, 0.632, 0.760)
Tm (0.500, 0.368, 0.260)
Pb (0.000, 0.685, 0.257)
Pb (0.500, 0.315, 0.757)

=====

Entry 2:
DFT (PBE) results for crystalline Zn2AgIr at its relaxed geometry.

## Properties
E_form = -0.03 eV/atom
mass density = 11.872 g/cm3
DOS at the Fermi energy = 1.46 states/eV/f.u.
SG = Imm2

Lattice parameters (Å, degrees): 5.288 5.288 5.288 146.71 131.47 60.12
Element x y z (fractional)
Zn (0.000, 0.000, 0.000)
Zn (0.754, 0.254, 0.500)
Ag (0.254, 0.754, 0.500)
Ir (0.521, 0.521, 0.000)

=====

Entry 3:
DFT (PBE) results for crystalline ScPHRu2 at its relaxed geometry.

## Properties
mass density = 7.380 g/cm3
DOS at the Fermi energy = 2.38 states/eV/f.u.
SG = Cmcm

Lattice parameters (Å, degrees): 5.934 5.934 7.125 90.00 90.00 149.97
Element x y z (fractional)
Sc (0.024, 0.976, 0.750)
Sc (0.976, 0.024, 0.250)
P (0.250, 0.750, 0.250)
P (0.750, 0.250, 0.750)
H (0.500, 0.500, 0.000)
H (0.500, 0.500, 0.500)
Ru (0.351, 0.649, 0.546)
Ru (0.351, 0.649, 0.954)
Ru (0.649, 0.351, 0.046)
Ru (0.649, 0.351, 0.454)

=====

| no. | total energy (eV per atom) | total magnetic moment (μB/cell) | volume (Å³ per cell) |
| --- | --- | --- | --- |
| 1 | -4.55 | 0.000 | 190.98 |
| 2 | -3.60 | 0.000 | 60.27 |
| 3 | -7.35 | 0.000 | 125.58 |